Material: InCoAgO3
Method: DFT, PBE+U
State: optimized geometry

Cell and atoms, written as POSCAR:
```
InCoAgO3
1.0
9.064 0.000 0.000
0.000 2.981 0.000
0.000 0.000 10.502
Co In O Ag
4 4 12 4
Direct
0.131 0.500 0.078
0.369 0.500 0.578
0.631 0.000 0.422
0.869 0.000 0.922
0.607 0.000 0.737
0.893 0.000 0.237
0.107 0.500 0.763
0.393 0.500 0.263
0.396 0.000 0.426
0.220 0.000 0.641
0.720 0.500 0.859
0.780 0.500 0.359
0.604 0.500 0.574
0.929 0.000 0.727
0.280 0.000 0.141
0.104 0.000 0.926
0.429 0.500 0.773
0.071 0.500 0.273
0.571 0.000 0.227
0.896 0.500 0.074
0.119 0.000 0.445
0.381 0.000 0.945
0.881 0.500 0.555
0.619 0.500 0.055
```

space-group type: Pnma (62)
calculated volume: 70.9 Å³/f.u.
E_tot: -5.0338 eV per atom